Crystalline LiNbVO4 at its relaxed geometry. Source: Alexandria via LeMat-Bulk, functional GGA+U.

Lattice parameters (Å, degrees): 6.1521 6.1550 8.6334 90.78 90.83 90.92
Space group P1 (No. 1)
Inequivalent atoms, fractional coordinates:
Li 0.0000 0.0000 0.0000 [1 per cell]
Li 0.0096 0.4961 0.7458 [1 per cell]
Li 0.5153 0.5099 0.4923 [1 per cell]
Li 0.5256 0.0070 0.2376 [1 per cell]
Nb 0.0303 0.7666 0.3830 [1 per cell]
Nb 0.2620 0.0024 0.6183 [1 per cell]
Nb 0.4950 0.2398 0.8549 [1 per cell]
Nb 0.7629 0.5036 0.1191 [1 per cell]
V 0.0170 0.2567 0.3673 [1 per cell]
V 0.2627 0.5033 0.1188 [1 per cell]
V 0.5083 0.7498 0.8706 [1 per cell]
V 0.7630 0.0033 0.6189 [1 per cell]
O 0.0049 0.7315 0.1322 [1 per cell]
O 0.0053 0.7601 0.6168 [1 per cell]
O 0.0307 0.2289 0.6060 [1 per cell]
O 0.2324 0.5147 0.3645 [1 per cell]
O 0.2549 0.0120 0.3688 [1 per cell]
O 0.2708 0.9949 0.8687 [1 per cell]
O 0.2928 0.4917 0.8731 [1 per cell]
O 0.4951 0.7779 0.6321 [1 per cell]
O 0.5197 0.2456 0.6216 [1 per cell]
O 0.5206 0.2751 0.1050 [1 per cell]
O 0.5285 0.7301 0.1070 [1 per cell]
O 0.7251 0.0106 0.8657 [1 per cell]
O 0.7402 0.4978 0.8822 [1 per cell]
O 0.7846 0.5082 0.3557 [1 per cell]
O 0.8003 0.9959 0.3721 [1 per cell]
O 0.9969 0.2766 0.1308 [1 per cell]

Calculated values
**Energy above the most stable polymorph in this dataset**: 0.009 eV per atom
**Theoretical density**: 4.4 g/cm3